1.
{"formula": "PmPr3Y", "functional": "GGA-PBE", "state": "optimized geometry", "sg": "R-3 (148)", "e_tot_ev_per_atom": -4.85, "formation_energy_ev_per_fu": 1.31, "n_ef_per_ev_fu": 8.9, "e_above_lowest_polymorph_ev_per_atom": 0.248, "lattice": [[3.468, 2.002, 8.917], [-3.468, 2.002, 8.917], [0.000, -4.004, 8.917]], "species": ["Pm", "Pm", "Pr", "Pr", "Pr", "Pr", "Pr", "Pr", "Y", "Y"], "frac_coords": [[0.195, 0.195, 0.195], [0.805, 0.805, 0.805], [0.247, 0.752, 0.730], [0.248, 0.270, 0.753], [0.270, 0.753, 0.248], [0.730, 0.247, 0.752], [0.752, 0.730, 0.247], [0.753, 0.248, 0.270], [0.313, 0.313, 0.313], [0.687, 0.687, 0.687]]}

2.
{"formula": "Cs3RbSr", "functional": "GGA-PBE", "state": "optimized geometry", "sg": "Pm-3m (221)", "e_tot_ev_per_atom": -0.71, "formation_energy_ev_per_fu": 1.68, "n_ef_per_ev_fu": 6.7, "e_above_lowest_polymorph_ev_per_atom": 0.039, "lattice": [[8.297, 0.000, 0.000], [0.000, 8.297, 0.000], [0.000, 0.000, 8.297]], "species": ["Cs", "Cs", "Cs", "Rb", "Sr"], "frac_coords": [[0.000, 0.000, 0.500], [0.000, 0.500, 0.000], [0.500, 0.000, 0.000], [0.000, 0.000, 0.000], [0.500, 0.500, 0.500]]}

3.
{"formula": "BaPuNiN3", "functional": "GGA-PBE", "state": "optimized geometry", "sg": "P2_1/m (11)", "e_tot_ev_per_atom": -8.46, "n_ef_per_ev_fu": 7.1, "e_form_raw_ev_per_atom": -0.62, "lattice": [[7.538, 0.000, 0.000], [0.000, 3.548, 0.000], [-2.130, 0.000, 7.390]], "species": ["Ba", "Ba", "Pu", "Pu", "Ni", "Ni", "N", "N", "N", "N", "N", "N"], "frac_coords": [[0.206, 0.250, 0.238], [0.794, 0.750, 0.762], [0.328, 0.750, 0.844], [0.672, 0.250, 0.156], [0.073, 0.250, 0.597], [0.927, 0.750, 0.403], [0.152, 0.250, 0.862], [0.175, 0.750, 0.552], [0.466, 0.750, 0.136], [0.534, 0.250, 0.864], [0.825, 0.250, 0.448], [0.848, 0.750, 0.138]]}

4.
{"formula": "Pu3Cu8Au", "functional": "GGA-PBE", "state": "optimized geometry", "sg": "R3m (160)", "e_tot_ev_per_atom": -6.64, "formation_energy_ev_per_fu": -0.64, "n_ef_per_ev_fu": 31.4, "lattice": [[2.585, 1.492, 8.374], [-2.585, 1.492, 8.374], [0.000, -2.985, 8.374]], "species": ["Pu", "Pu", "Pu", "Cu", "Cu", "Cu", "Cu", "Cu", "Cu", "Cu", "Cu", "Au"], "frac_coords": [[0.000, 0.000, 0.000], [0.127, 0.127, 0.127], [0.625, 0.625, 0.625], [0.061, 0.061, 0.563], [0.061, 0.563, 0.061], [0.068, 0.563, 0.563], [0.313, 0.313, 0.313], [0.563, 0.061, 0.061], [0.563, 0.068, 0.563], [0.563, 0.563, 0.068], [0.814, 0.814, 0.814], [0.499, 0.499, 0.499]]}

5.
{"formula": "Tm5Mg4Al4", "functional": "GGA-PBE", "state": "optimized geometry", "sg": "I4/m (87)", "e_tot_ev_per_atom": -3.59, "formation_energy_ev_per_fu": -2.98, "n_ef_per_ev_fu": 8.5, "lattice": [[-5.891, 5.891, 2.255], [5.891, -5.891, 2.255], [5.891, 5.891, -2.255]], "species": ["Tm", "Tm", "Tm", "Tm", "Tm", "Mg", "Mg", "Mg", "Mg", "Al", "Al", "Al", "Al"], "frac_coords": [[0.000, 0.000, 0.000], [0.306, 0.380, 0.686], [0.380, 0.694, 0.074], [0.620, 0.306, 0.926], [0.694, 0.620, 0.314], [0.108, 0.588, 0.696], [0.412, 0.108, 0.520], [0.588, 0.892, 0.480], [0.892, 0.412, 0.304], [0.069, 0.248, 0.317], [0.248, 0.931, 0.179], [0.752, 0.069, 0.821], [0.931, 0.752, 0.683]]}

6.
{"formula": "HfTl2Ag", "functional": "GGA-PBE", "state": "optimized geometry", "sg": "I-42d (122)", "e_tot_ev_per_atom": -4.00, "formation_energy_ev_per_fu": 1.56, "n_ef_per_ev_fu": 3.4, "e_above_lowest_polymorph_ev_per_atom": 0.234, "lattice": [[-3.929, 3.929, 3.125], [3.929, -3.929, 3.125], [3.929, 3.929, -3.125]], "species": ["Hf", "Hf", "Tl", "Tl", "Tl", "Tl", "Ag", "Ag"], "frac_coords": [[0.000, 0.000, 0.000], [0.750, 0.250, 0.500], [0.141, 0.625, 0.016], [0.375, 0.391, 0.516], [0.609, 0.125, 0.984], [0.875, 0.859, 0.484], [0.250, 0.750, 0.500], [0.500, 0.500, 0.000]]}